(1)
Entry from the Alexandria database: a geometry-optimized NaLa2Sn3Se6 structure (GGA-PBE).

Output
volume: 350.88 Å³/cell
total energy: -0.1742 Ha/atom
magnetization: 0.00 μB/f.u.
DOS at the Fermi energy: 0.20 states/eV/atom

Unit cell a=9.655 b=9.655 c=8.553 alpha=103.65 beta=103.65 gamma=26.98
Atoms (fractional coordinates):
Na (0.000, 0.000, 0.000)
La (0.335, 0.335, 0.680)
La (0.665, 0.665, 0.320)
Sn (0.000, 0.000, 0.500)
Sn (0.340, 0.340, 0.143)
Sn (0.660, 0.660, 0.857)
Se (0.168, 0.168, 0.074)
Se (0.168, 0.168, 0.560)
Se (0.497, 0.497, 0.745)
Se (0.503, 0.503, 0.255)
Se (0.832, 0.832, 0.440)
Se (0.832, 0.832, 0.926)

=====

(2)
Entry from the Alexandria database: a geometry-optimized Rb2MgI2 structure (GGA-PBE).

Output
volume: 482.84 Å³/cell
total energy: -0.0816 Ha/atom
magnetization: 0.00 μB/f.u.
DOS at the Fermi energy: 0.00 states/eV/atom

Unit cell a=10.217 b=10.217 c=4.625 alpha=90.00 beta=90.00 gamma=90.00
Atoms (fractional coordinates):
Rb (0.150, 0.350, 0.000)
Rb (0.350, 0.850, 0.000)
Rb (0.650, 0.150, 0.000)
Rb (0.850, 0.650, 0.000)
Mg (0.000, 0.000, 0.500)
Mg (0.500, 0.500, 0.500)
I (0.150, 0.650, 0.500)
I (0.350, 0.150, 0.500)
I (0.650, 0.850, 0.500)
I (0.850, 0.350, 0.500)

=====

(3)
Entry from the Alexandria database: a geometry-optimized LiAcEu structure (GGA-PBE).

Output
volume: 114.12 Å³/cell
total energy: -0.1957 Ha/atom
magnetization: 7.74 μB/f.u.
DOS at the Fermi energy: 1.76 states/eV/atom

Unit cell a=3.849 b=3.849 c=8.897 alpha=90.00 beta=90.00 gamma=120.00
Atoms (fractional coordinates):
Li (0.000, 0.000, 0.000)
Ac (0.333, 0.667, 0.681)
Eu (0.667, 0.333, 0.317)

=====

(4)
Entry from the Alexandria database: a geometry-optimized CeEr3 structure (GGA-PBE).

Output
volume: 123.28 Å³/cell
total energy: -0.1778 Ha/atom
magnetization: 0.92 μB/f.u.
DOS at the Fermi energy: 2.38 states/eV/atom

Unit cell a=3.555 b=5.642 c=6.146 alpha=90.00 beta=90.00 gamma=90.00
Atoms (fractional coordinates):
Ce (0.000, 0.000, 0.000)
Er (0.000, 0.500, 0.335)
Er (0.500, 0.000, 0.507)
Er (0.500, 0.500, 0.841)

=====

(5)
Entry from the Alexandria database: a geometry-optimized CaCd2Mo structure (GGA-PBE).

Output
volume: 86.28 Å³/cell
total energy: -0.1196 Ha/atom
magnetization: 0.00 μB/f.u.
DOS at the Fermi energy: 0.67 states/eV/atom

Unit cell a=6.054 b=6.054 c=6.054 alpha=149.86 beta=128.65 gamma=60.70
Atoms (fractional coordinates):
Ca (0.000, 0.000, 0.000)
Cd (0.489, 0.489, 0.000)
Cd (0.732, 0.232, 0.500)
Mo (0.259, 0.759, 0.500)

=====

(6)
Entry from the Alexandria database: a geometry-optimized Al2PdPt2 structure (GGA-PBE).

Output
volume: 153.06 Å³/cell
total energy: -0.2144 Ha/atom
magnetization: 0.00 μB/f.u.
DOS at the Fermi energy: 0.30 states/eV/atom

Unit cell a=7.379 b=7.379 c=2.811 alpha=90.00 beta=90.00 gamma=90.00
Atoms (fractional coordinates):
Al (0.162, 0.338, 0.000)
Al (0.338, 0.838, 0.000)
Al (0.662, 0.162, 0.000)
Al (0.838, 0.662, 0.000)
Pd (0.000, 0.000, 0.500)
Pd (0.500, 0.500, 0.500)
Pt (0.137, 0.637, 0.500)
Pt (0.363, 0.137, 0.500)
Pt (0.637, 0.863, 0.500)
Pt (0.863, 0.363, 0.500)